#i
A geometry-optimized TlCuSb2I structure. Source: the Alexandria database, functional GGA-PBE.

Computed properties:
Fermi-level density of states = 5.4 states/eV/cell

a = 5.032 Å, b = 5.032 Å, c = 6.533 Å
α = 90.00°, β = 90.00°, γ = 90.00°
Fractional coordinates of all 5 atoms:
I 0.000 0.000 0.500
Cu 0.000 0.000 0.000
Sb 0.500 0.000 0.000
Tl 0.500 0.500 0.500
Sb 0.000 0.500 0.000

---

#ii
A geometry-optimized TlCuSb2I structure. Source: the Alexandria database, functional GGA-PBE.

Computed properties:
Fermi-level density of states = 4.9 states/eV/cell

a = 5.749 Å, b = 5.749 Å, c = 6.188 Å
α = 90.00°, β = 90.00°, γ = 90.00°
Each line ends with the local moment (μB).
Fractional coordinates of all 5 atoms:
Sb 0.000 0.500 0.000  0.26
Cu 0.500 0.500 0.500  0.01
Sb 0.500 0.000 0.000  0.26
Tl 0.000 0.000 0.000  -0.01
I 0.000 0.000 0.500  0.12

---

Going by the energies, #i is most stable and the next is 829 meV/atom up.

---

#i
A geometry-optimized VCuSbI2 structure. Source: the Alexandria database, functional GGA-PBE.

Computed properties:
Fermi-level density of states = 5.6 states/eV/cell

a = 5.309 Å, b = 5.309 Å, c = 5.274 Å
α = 90.00°, β = 90.00°, γ = 90.00°
Fractional coordinates of all 5 atoms:
Cu 0.500 0.500 0.500
I 0.500 0.000 0.000
V 0.000 0.000 0.000
Sb 0.000 0.000 0.500
I 0.000 0.500 0.000

---

#ii
A geometry-optimized VCuSbI2 structure. Source: the Alexandria database, functional GGA-PBE.

Computed properties:
Fermi-level density of states = 10.2 states/eV/cell

a = 5.294 Å, b = 5.294 Å, c = 5.144 Å
α = 90.00°, β = 90.00°, γ = 90.00°
Each line ends with the local moment (μB).
Fractional coordinates of all 5 atoms:
V 0.500 0.500 0.500  -0.06
Cu 0.000 0.000 0.000  -0.01
Sb 0.000 0.000 0.500  -0.08
I 0.500 0.000 0.000  0.00
I 0.000 0.500 0.000  0.00

---

Going by the energies, #i is most stable and the next is 366 meV/atom up.

---

#i
A geometry-optimized CuSbWI2 structure. Source: the Alexandria database, functional GGA-PBE.

Computed properties:
Fermi-level density of states = 5.8 states/eV/cell

a = 5.229 Å, b = 5.229 Å, c = 5.185 Å
α = 90.00°, β = 90.00°, γ = 90.00°
Each line ends with the local moment (μB).
Fractional coordinates of all 5 atoms:
Cu 0.000 0.000 0.000  -0.01
Sb 0.000 0.000 0.500  -0.24
I 0.000 0.500 0.000  -0.05
W 0.500 0.500 0.500  3.05
I 0.500 0.000 0.000  -0.05

---

#ii
A geometry-optimized CuSbWI2 structure. Source: the Alexandria database, functional GGA-PBE.

Computed properties:
Fermi-level density of states = 5.4 states/eV/cell

a = 5.528 Å, b = 5.528 Å, c = 5.260 Å
α = 90.00°, β = 90.00°, γ = 90.00°
Each line ends with the local moment (μB).
Fractional coordinates of all 5 atoms:
W 0.000 0.000 0.000  0.72
I 0.000 0.500 0.000  0.02
I 0.500 0.000 0.000  0.02
Cu 0.500 0.500 0.500  0.00
Sb 0.000 0.000 0.500  -0.05

---

Going by the energies, #ii is most stable and the next is 367 meV/atom up.

---

#i
A geometry-optimized YCuSbI2 structure. Source: the Alexandria database, functional GGA-PBE.

Computed properties:
Fermi-level density of states = 6.0 states/eV/cell

a = 5.861 Å, b = 5.861 Å, c = 6.183 Å
α = 90.00°, β = 90.00°, γ = 90.00°
Fractional coordinates of all 5 atoms:
Cu 0.500 0.500 0.500
I 0.500 0.000 0.000
Y 0.000 0.000 0.000
Sb 0.000 0.000 0.500
I 0.000 0.500 0.000

---

#ii
A geometry-optimized YCuSbI2 structure. Source: the Alexandria database, functional GGA-PBE.

Computed properties:
Fermi-level density of states = 3.5 states/eV/cell

a = 5.224 Å, b = 5.224 Å, c = 5.447 Å
α = 90.00°, β = 90.00°, γ = 90.00°
Fractional coordinates of all 5 atoms:
I 0.500 0.000 0.000
I 0.000 0.500 0.000
Y 0.500 0.500 0.500
Cu 0.000 0.000 0.000
Sb 0.000 0.000 0.500

---

Going by the energies, #ii is most stable and the next is 116 meV/atom up.

---

#i
A geometry-optimized YCuSb2I structure. Source: the Alexandria database, functional GGA-PBE.

Computed properties:
Fermi-level density of states = 4.8 states/eV/cell

a = 5.885 Å, b = 5.885 Å, c = 5.851 Å
α = 90.00°, β = 90.00°, γ = 90.00°
Each line ends with the local moment (μB).
Fractional coordinates of all 5 atoms:
Cu 0.500 0.500 0.500  0.00
Y 0.000 0.000 0.000  0.00
Sb 0.000 0.500 0.000  0.07
Sb 0.500 0.000 0.000  0.07
I 0.000 0.000 0.500  0.04

---

#ii
A geometry-optimized YCuSb2I structure. Source: the Alexandria database, functional GGA-PBE.

Computed properties:
Fermi-level density of states = 3.0 states/eV/cell

a = 5.003 Å, b = 5.003 Å, c = 5.712 Å
α = 90.00°, β = 90.00°, γ = 90.00°
Fractional coordinates of all 5 atoms:
I 0.000 0.000 0.500
Y 0.500 0.500 0.500
Sb 0.000 0.500 0.000
Sb 0.500 0.000 0.000
Cu 0.000 0.000 0.000

---

Going by the energies, #ii is most stable and the next is 448 meV/atom up.

---

#i
A geometry-optimized ZnCuSb2I structure. Source: the Alexandria database, functional GGA-PBE.

Computed properties:
Fermi-level density of states = 5.4 states/eV/cell

a = 5.130 Å, b = 5.130 Å, c = 5.458 Å
α = 90.00°, β = 90.00°, γ = 90.00°
Fractional coordinates of all 5 atoms:
Sb 0.000 0.500 0.000
I 0.000 0.000 0.500
Sb 0.500 0.000 0.000
Zn 0.500 0.500 0.500
Cu 0.000 0.000 0.000

---

#ii
A geometry-optimized ZnCuSb2I structure. Source: the Alexandria database, functional GGA-PBE.

Computed properties:
Fermi-level density of states = 3.7 states/eV/cell

a = 5.186 Å, b = 5.186 Å, c = 5.680 Å
α = 90.00°, β = 90.00°, γ = 90.00°
Fractional coordinates of all 5 atoms:
Cu 0.500 0.500 0.500
Zn 0.000 0.000 0.000
Sb 0.500 0.000 0.000
Sb 0.000 0.500 0.000
I 0.000 0.000 0.500

---

Going by the energies, #i is most stable and the next is 257 meV/atom up.

---

#i
A geometry-optimized Cu2Se2I structure. Source: the Alexandria database, functional GGA-PBE.

Computed properties:
Fermi-level density of states = 5.9 states/eV/cell

a = 7.655 Å, b = 6.117 Å, c = 7.210 Å
α = 89.68°, β = 61.74°, γ = 59.77°
Fractional coordinates of all 10 atoms:
Se 0.532 0.224 0.987
Cu 0.164 0.244 0.174
Se 0.468 0.776 0.013
Cu 0.504 0.502 0.255
Cu 0.836 0.756 0.826
I 0.845 0.753 0.330
Se 0.798 0.267 0.353
Se 0.202 0.733 0.647
Cu 0.496 0.498 0.745
I 0.155 0.247 0.670

---

#ii
A geometry-optimized Cu2Se2I structure. Source: the Alexandria database, functional GGA-PBE.

Computed properties:
Fermi-level density of states = 2.9 states/eV/cell

a = 4.631 Å, b = 4.631 Å, c = 6.832 Å
α = 70.19°, β = 70.19°, γ = 90.00°
Fractional coordinates of all 5 atoms:
Cu 0.313 0.313 0.375
I 0.000 0.000 0.000
Se 0.250 0.750 0.500
Cu 0.687 0.687 0.625
Se 0.750 0.250 0.500

---

Going by the energies, #i is most stable and the next is 228 meV/atom up.

---

#i
A geometry-optimized CuTe2SeI structure. Source: the Alexandria database, functional GGA-PBE.

Computed properties:
Fermi-level density of states = 5.7 states/eV/cell

a = 5.563 Å, b = 5.563 Å, c = 5.498 Å
α = 90.00°, β = 90.00°, γ = 90.00°
Fractional coordinates of all 5 atoms:
I 0.000 0.000 0.500
Cu 0.500 0.500 0.500
Te 0.000 0.500 0.000
Se 0.000 0.000 0.000
Te 0.500 0.000 0.000

---

#ii
A geometry-optimized CuTe2SeI structure. Source: the Alexandria database, functional GGA-PBE.

Computed properties:
Fermi-level density of states = 4.9 states/eV/cell

a = 5.245 Å, b = 5.245 Å, c = 5.068 Å
α = 90.00°, β = 90.00°, γ = 90.00°
Fractional coordinates of all 5 atoms:
I 0.000 0.000 0.500
Cu 0.000 0.000 0.000
Se 0.500 0.500 0.500
Te 0.000 0.500 0.000
Te 0.500 0.000 0.000

---

Going by the energies, #ii is most stable and the next is 261 meV/atom up.

---

#i
A geometry-optimized Tl2CuSeI structure. Source: the Alexandria database, functional GGA-PBE.

Computed properties:
Fermi-level density of states = 0.1 states/eV/cell

a = 6.427 Å, b = 6.427 Å, c = 4.469 Å
α = 90.00°, β = 90.00°, γ = 90.00°
Fractional coordinates of all 5 atoms:
Tl 0.000 0.500 0.000
Cu 0.000 0.000 0.500
Tl 0.500 0.000 0.000
I 0.500 0.500 0.500
Se 0.000 0.000 0.000

---

#ii
A geometry-optimized Tl2CuSeI structure. Source: the Alexandria database, functional GGA-PBE.

Computed properties:
Fermi-level density of states = 0.8 states/eV/cell

a = 6.039 Å, b = 6.039 Å, c = 4.439 Å
α = 90.00°, β = 90.00°, γ = 90.00°
Fractional coordinates of all 5 atoms:
Tl 0.000 0.500 0.000
I 0.500 0.500 0.500
Se 0.000 0.000 0.500
Tl 0.500 0.000 0.000
Cu 0.000 0.000 0.000

---

Going by the energies, #ii is most stable and the next is 12 meV/atom up.

---

#i
A geometry-optimized CuSiI3 structure. Source: the Alexandria database, functional GGA-PBE.

Computed properties:
Fermi-level density of states = 3.6 states/eV/cell

a = 5.372 Å, b = 5.372 Å, c = 5.372 Å
α = 90.00°, β = 90.00°, γ = 90.00°
Each line ends with the local moment (μB).
Fractional coordinates of all 5 atoms:
I 0.500 0.000 0.000  -0.03
I 0.000 0.000 0.500  -0.02
I 0.000 0.500 0.000  -0.02
Si 0.500 0.500 0.500  0.20
Cu 0.000 0.000 0.000  -0.02

---

#ii
A geometry-optimized CuSiI3 structure. Source: the Alexandria database, functional GGA-PBE.

Computed properties:
Fermi-level density of states = 0.8 states/eV/cell

a = 5.598 Å, b = 5.598 Å, c = 5.598 Å
α = 90.00°, β = 90.00°, γ = 90.00°
Fractional coordinates of all 5 atoms:
Cu 0.500 0.500 0.500
I 0.500 0.000 0.000
Si 0.000 0.000 0.000
I 0.000 0.000 0.500
I 0.000 0.500 0.000

---

Going by the energies, #ii is most stable and the next is 38 meV/atom up.

---

#i
A geometry-optimized Cu3SiI structure. Source: the Alexandria database, functional GGA-PBE.

Computed properties:
Fermi-level density of states = 3.4 states/eV/cell

a = 4.909 Å, b = 4.909 Å, c = 4.909 Å
α = 90.00°, β = 90.00°, γ = 90.00°
Fractional coordinates of all 5 atoms:
I 0.000 0.000 0.000
Cu 0.000 0.500 0.000
Cu 0.000 0.000 0.500
Si 0.500 0.500 0.500
Cu 0.500 0.000 0.000

---

#ii
A geometry-optimized Cu3SiI structure. Source: the Alexandria database, functional GGA-PBE.

Computed properties:
Fermi-level density of states = 4.7 states/eV/cell

a = 4.609 Å, b = 4.609 Å, c = 4.609 Å
α = 90.00°, β = 90.00°, γ = 90.00°
Fractional coordinates of all 5 atoms:
Cu 0.000 0.000 0.500
Si 0.000 0.000 0.000
Cu 0.500 0.000 0.000
Cu 0.000 0.500 0.000
I 0.500 0.500 0.500

---

Going by the energies, #ii is most stable and the next is 802 meV/atom up.

---

#i
A geometry-optimized CuSiI2 structure. Source: the Alexandria database, functional GGA-PBE.

Computed properties:
Fermi-level density of states = 2.6 states/eV/cell

a = 5.167 Å, b = 5.167 Å, c = 5.167 Å
α = 60.00°, β = 60.00°, γ = 60.00°
Fractional coordinates of all 4 atoms:
Cu 0.500 0.500 0.500
Si 0.000 0.000 0.000
I 0.250 0.250 0.250
I 0.750 0.750 0.750

---

#ii
A geometry-optimized CuSiI2 structure. Source: the Alexandria database, functional GGA-PBE.

Computed properties:
Fermi-level density of states = 2.0 states/eV/cell

a = 7.370 Å, b = 7.370 Å, c = 6.801 Å
α = 57.19°, β = 57.19°, γ = 90.00°
Each line ends with the local moment (μB).
Fractional coordinates of all 8 atoms:
I 0.375 0.336 0.750  0.02
I 0.875 0.914 0.750  0.03
Si 0.500 0.500 0.000  0.23
Si 0.250 0.750 0.500  0.23
Cu 0.000 0.000 0.000  0.02
Cu 0.750 0.250 0.500  0.02
I 0.664 0.125 0.250  0.03
I 0.086 0.625 0.250  0.03

---

Going by the energies, #ii is most stable and the next is 212 meV/atom up.

---

#i
A geometry-optimized Cu2SiI structure. Source: the Alexandria database, functional GGA-PBE.

Computed properties:
Fermi-level density of states = 2.9 states/eV/cell

a = 4.675 Å, b = 4.675 Å, c = 4.675 Å
α = 60.00°, β = 60.00°, γ = 60.00°
Fractional coordinates of all 4 atoms:
Cu 0.250 0.250 0.250
I 0.500 0.500 0.500
Si 0.000 0.000 0.000
Cu 0.750 0.750 0.750

---

#ii
A geometry-optimized Cu2SiI structure. Source: the Alexandria database, functional GGA-PBE.

Computed properties:
Fermi-level density of states = 2.1 states/eV/cell

a = 6.145 Å, b = 6.145 Å, c = 6.512 Å
α = 61.85°, β = 61.85°, γ = 90.00°
Fractional coordinates of all 8 atoms:
Si 0.500 0.500 0.000
Si 0.250 0.750 0.500
Cu 0.578 0.125 0.250
I 0.000 0.000 0.000
I 0.750 0.250 0.500
Cu 0.375 0.422 0.750
Cu 0.172 0.625 0.250
Cu 0.875 0.828 0.750

---

Going by the energies, #ii is most stable and the next is 486 meV/atom up.

---

#i
A geometry-optimized CuSiTe2I structure. Source: the Alexandria database, functional GGA-PBE.

Computed properties:
Fermi-level density of states = 5.0 states/eV/cell

a = 5.294 Å, b = 5.294 Å, c = 5.502 Å
α = 90.00°, β = 90.00°, γ = 90.00°
Fractional coordinates of all 5 atoms:
Cu 0.500 0.500 0.500
Te 0.500 0.000 0.000
I 0.000 0.000 0.500
Te 0.000 0.500 0.000
Si 0.000 0.000 0.000

---

#ii
A geometry-optimized CuSiTe2I structure. Source: the Alexandria database, functional GGA-PBE.

Computed properties:
Fermi-level density of states = 3.2 states/eV/cell

a = 5.195 Å, b = 5.195 Å, c = 5.200 Å
α = 90.00°, β = 90.00°, γ = 90.00°
Fractional coordinates of all 5 atoms:
Te 0.000 0.500 0.000
Te 0.500 0.000 0.000
Si 0.500 0.500 0.500
Cu 0.000 0.000 0.000
I 0.000 0.000 0.500

---

Going by the energies, #ii is most stable and the next is 63 meV/atom up.